Arrangement 1

Here is KLiAu2 after structural relaxation from Alexandria via LeMat-Bulk. Energies are from GGA-PBE.

Structure (POSCAR):
```
KLiAu2
1.0
7.981 0.000 0.000
0.000 4.605 0.000
-2.650 0.000 5.882
K Li Au
2 2 4
Direct
0.000 0.000 0.000
0.500 0.500 0.000
0.000 0.500 0.500
0.500 0.000 0.500
0.196 0.000 0.589
0.304 0.500 0.411
0.696 0.500 0.589
0.804 0.000 0.411
```

* SG: C2/m (12)

Arrangement 2

Here is KLiAu2 after structural relaxation from Alexandria via LeMat-Bulk. Energies are from GGA-PBE.

Structure (POSCAR):
```
KLiAu2
1.0
4.465 0.000 0.000
0.000 5.917 0.000
0.000 0.000 7.889
K Li Au
2 2 4
Direct
0.000 0.000 0.000
0.500 0.500 0.500
0.000 0.000 0.500
0.500 0.500 0.000
0.000 0.500 0.189
0.000 0.500 0.811
0.500 0.000 0.311
0.500 0.000 0.689
```

* SG: Immm (71)

Arrangement 3

Here is KLiAu2 after structural relaxation from Alexandria via LeMat-Bulk. Energies are from GGA-PBE.

Structure (POSCAR):
```
KLiAu2
1.0
3.141 0.000 0.000
0.000 3.601 0.000
0.000 0.000 7.768
K Li Au
1 1 2
Direct
0.000 0.000 0.000
0.000 0.000 0.500
0.500 0.500 0.312
0.500 0.500 0.688
```

* SG: Pmmm (47)

Pick arrangement 1: it beats the second-best structure by 60 meV per atom.